# H4Pd4Pt

H4Pd4Pt after structural relaxation (GGA-PBE, Alexandria).

a = 2.925 Å, b = 5.008 Å, c = 6.671 Å
α = 97.15°, β = 102.49°, γ = 106.71°
Sites, in units of the cell vectors:
H 0.134 0.321 0.442
H 0.166 0.754 0.090
H 0.834 0.246 0.910
H 0.866 0.679 0.558
Pd 0.109 0.909 0.807
Pd 0.298 0.702 0.394
Pd 0.702 0.298 0.606
Pd 0.891 0.091 0.193
Pt 0.500 0.500 0.000

Results
total magnetization	0.00	μB/f.u.
DFT total energy	-0.333	Ry/atom